The following is a GGA-PBE calculation of crystalline Pm2Pr5Ge5 at its relaxed geometry, from the Alexandria database.

- Total DFT energy (no corrections): -5.378 eV per atom
- ρ: 6.2 g/cm3
- SG: C2/m
- D(E_F): 0.630 states/eV/atom
- Calculated formation energy: -8.05 eV/f.u.

```
12
Lattice="7.129 -2.135 0.000 7.129 2.135 0.000 -3.590 0.000 12.011" Properties=species:S:1:pos:R:3 pbc="T T T"
Pm -0.402 0.000 3.418
Pm 11.070 0.000 8.593
Pr 3.209 0.000 1.758
Pr 3.279 0.000 5.389
Pr 7.129 0.000 0.000
Pr 7.389 0.000 6.622
Pr 7.459 0.000 10.253
Ge -1.795 0.000 6.006
Ge -1.653 0.000 11.094
Ge 1.871 0.000 8.366
Ge 8.797 0.000 3.645
Ge 12.321 0.000 0.917
```